[1]
Entry from Alexandria via LeMat-Bulk: La3DyRh2 after structural relaxation (PBE-GGA).

Results
- Crystal system: triclinic
- Formation energy: -3.1 eV/f.u.

Lattice parameters (Å, degrees): 4.9879 4.6151 8.0111 106.67 107.99 89.99
Last column: nearest neighbours and their distance in Å.
Positions (direct):
La 0.8072 0.3075 0.6159  1 Rh 2.60
Rh 0.3738 0.8719 0.7420  1 La 2.60
La 0.5000 0.5000 0.0000  4 Rh 2.97
La 0.1928 0.6925 0.3841  1 Rh 2.60
Rh 0.6262 0.1281 0.2580  1 La 2.60
Dy 0.0000 0.0000 0.0000  4 Rh 3.11-3.13, 4 La 3.40

=====

[2]
Entry from Alexandria via LeMat-Bulk: In2FeTc after structural relaxation (PBE-GGA).

Results
- Crystal system: cubic
- Formation energy: 1.5 eV/f.u.
- E above lowest polymorph: 3.49 kcal/mol of atoms

Lattice parameters (Å, degrees): 4.5707 4.5707 4.5707 60.00 60.00 60.00
Last column: nearest neighbours and their distance in Å.
Positions (direct):
In 0.2500 0.2500 0.2500  4 Fe 2.80, 4 Tc 2.80
In 0.7500 0.7500 0.7500  4 Fe 2.80, 4 Tc 2.80
Tc 0.5000 0.5000 0.5000  8 In 2.80
Fe 0.0000 0.0000 0.0000  8 In 2.80

=====

[3]
Entry from Alexandria via LeMat-Bulk: Hg2GeSb after structural relaxation (PBE-GGA).

Results
- Crystal system: cubic
- Energy relative to the elements, uncorrected: 0.31 eV per atom
- E above lowest polymorph: 0.00 kcal/mol of atoms

Lattice parameters (Å, degrees): 5.1773 5.1773 5.1773 60.00 60.00 60.00
Last column: nearest neighbours and their distance in Å.
Positions (direct):
Hg 0.2500 0.2500 0.2500  4 Ge 3.17, 4 Sb 3.17
Sb 0.5000 0.5000 0.5000  8 Hg 3.17
Hg 0.7500 0.7500 0.7500  4 Ge 3.17, 4 Sb 3.17
Ge 0.0000 0.0000 0.0000  8 Hg 3.17